Record 1
VASP calculation (PBE) on a relaxed RbLiSO4 crystal.

As for the energy above the lowest structure with this stoichiometry: 0.000 eV per formula unit. For the uncorrected formation energy, the calculation gives -1.90 eV per atom. Its calculated volume is 110.4 Å³/f.u. For the spin magnetization, the calculation gives 0.00 μB/f.u. For the electronic total energy, the calculation gives -5.74 eV/atom. Its density of states at the Fermi level is 0.000 states/eV/atom. The calculated density comes out at 2.83 g/cm3.

The space group is P2_1/c (No. 14) and the conventional cell measures 5.3617, 8.8930 and 10.7000 Å, with angles of 90.00, 120.05 and 90.00 degrees. The distinct sites, in fractional coordinates, are Rb at (0.0087, 0.0056, 0.2767), Li at (0.3338, 0.6785, 0.5913), S at (0.3299, 0.2061, 0.0771), O at (0.0454, 0.2342, 0.5486), O at (0.3393, 0.0404, 0.0971), O at (0.3682, 0.2435, 0.9514) and O at (0.4323, 0.7240, 0.7897).


Record 2
VASP calculation (PBE) on a relaxed CaMg2CoSn crystal.

The value obtained for the calculated formation energy is -0.13 eV/atom. Its calculated volume is 117.0 Å³/f.u. For the spin magnetization, the calculation gives 0.90 μB/f.u. For the electronic total energy, the calculation gives -3.39 eV/atom. Its density of states at the Fermi level is 0.578 states/eV/atom. The calculated density comes out at 3.78 g/cm3.

The space group is P4/mmm (No. 123) and the conventional cell measures 4.8967, 4.8967 and 4.8785 Å, with angles of 90.00, 90.00 and 90.00 degrees. The distinct sites, in fractional coordinates, are Ca at (0.0000, 0.0000, 0.0000), Mg at (0.0000, 0.5000, 0.5000), Co at (0.5000, 0.5000, 0.5000) and Sn at (0.5000, 0.5000, 0.0000).


Record 3
VASP calculation (PBE) on a relaxed TiGe2Os crystal.

As for the energy above the lowest structure with this stoichiometry: 0.000 eV per formula unit. The value obtained for the calculated formation energy is -0.10 eV/atom. Its calculated volume is 60.4 Å³/f.u. For the spin magnetization, the calculation gives 1.11 μB/f.u. For the electronic total energy, the calculation gives -7.19 eV/atom. Its density of states at the Fermi level is 1.490 states/eV/atom. The calculated density comes out at 10.54 g/cm3.

The space group is Fm-3m (No. 225) and the conventional cell measures 6.2287, 6.2287 and 6.2287 Å, with angles of 90.00, 90.00 and 90.00 degrees. The distinct sites, in fractional coordinates, are Ti at (0.0000, 0.0000, 0.0000), Ge at (0.2500, 0.2500, 0.2500) and Os at (0.0000, 0.0000, 0.5000).


Record 4
VASP calculation (PBE) on a relaxed La4TlCoBi crystal.

The value obtained for the calculated formation energy is -0.47 eV/atom. Its calculated volume is 227.1 Å³/f.u. For the spin magnetization, the calculation gives 0.00 μB/f.u. For the electronic total energy, the calculation gives -5.20 eV/atom. Its density of states at the Fermi level is 0.816 states/eV/atom. The calculated density comes out at 7.52 g/cm3.

The space group is Cmcm (No. 63) and the conventional cell measures 7.1822, 17.6576 and 7.1616 Å, with angles of 90.00, 90.00 and 90.00 degrees. The distinct sites, in fractional coordinates, are La at (0.0000, 0.0743, 0.2500), La at (0.0000, 0.4205, 0.2500), La at (0.2500, 0.2500, 0.0000), Tl at (0.0000, 0.1106, 0.7500), Co at (0.0000, 0.2482, 0.2500) and Bi at (0.0000, 0.3921, 0.7500).